An optimized crystal structure of LiPr2Pb. Source: Alexandria via LeMat-Bulk, functional PBE-GGA.

Unit cell a=3.5474 b=3.5474 c=12.1491 alpha=81.61 beta=81.61 gamma=60.00
Closest atoms and distances in Å follow each position.
Positions (direct):
Pr 0.9085 0.9085 0.2745  1 Pb 3.29, 3 Li 3.39, 6 Pr 3.55
Pr 0.0915 0.0915 0.7255  1 Pb 3.29, 3 Li 3.39, 6 Pr 3.55
Li 0.5000 0.5000 0.5000  6 Pr 3.39, 6 Li 3.55
Pb 0.0000 0.0000 0.0000  2 Pr 3.29, 6 Pb 3.55

Summary:
Its formation energy is 0.143 eV per atom. The spin magnetization comes out at 0.00 μB/atom.

---

An optimized crystal structure of LiPr2Pb2. Source: Alexandria via LeMat-Bulk, functional PBE-GGA.

Unit cell a=4.7661 b=6.4289 c=10.4414 alpha=88.39 beta=76.81 gamma=68.24
Closest atoms and distances in Å follow each position.
Positions (direct):
Pr 0.3249 0.6836 0.6665  6 Pb 3.28-3.49, 4 Li 3.38-3.59
Pr 0.9137 0.2704 0.9023  6 Pb 3.32-3.54, 2 Li 3.68
Pr 0.6751 0.3164 0.3335  6 Pb 3.28-3.49, 4 Li 3.38-3.59
Pr 0.0863 0.7296 0.0977  6 Pb 3.32-3.54, 2 Li 3.68
Li 0.6383 0.0814 0.6420  4 Pb 2.75-2.98
Li 0.3617 0.9186 0.3580  4 Pb 2.75-2.98
Pb 0.3539 0.1678 0.1244  1 Li 2.88, 1 Pb 3.13
Pb 0.6461 0.8322 0.8756  1 Li 2.88, 1 Pb 3.13
Pb 0.9258 0.7243 0.4241  3 Li 2.75-2.98
Pb 0.0742 0.2757 0.5759  3 Li 2.75-2.98

Summary:
Its offset from the most stable computed form is 0 meV per atom. Its formation energy is -0.511 eV per atom. The spin magnetization comes out at 0.09 μB/atom.

---

An optimized crystal structure of LiPrPb2. Source: Alexandria via LeMat-Bulk, functional PBE-GGA.

Unit cell a=3.6762 b=3.6762 c=7.9152 alpha=90.00 beta=90.00 gamma=90.00
Closest atoms and distances in Å follow each position.
Positions (direct):
Pb 0.0000 0.0000 0.7872  4 Li 3.10, 1 Pb 3.37, 4 Pr 3.45
Pb 0.0000 0.0000 0.2128  4 Li 3.10, 1 Pb 3.37, 4 Pr 3.45
Pr 0.5000 0.5000 0.5000  8 Pb 3.45, 4 Pr 3.68
Li 0.5000 0.5000 0.0000  8 Pb 3.10

Summary:
Its formation energy is -0.376 eV per atom. The spin magnetization comes out at 0.00 μB/atom.

---

An optimized crystal structure of LiPr2Pb. Source: Alexandria via LeMat-Bulk, functional PBE-GGA.

Unit cell a=4.5331 b=5.0753 c=5.0753 alpha=90.00 beta=90.00 gamma=90.00
Closest atoms and distances in Å follow each position.
Positions (direct):
Pr 0.0000 0.0000 0.5000  4 Li 3.40, 4 Pb 3.40, 4 Pr 3.59
Pr 0.0000 0.5000 0.0000  4 Pb 3.40, 4 Li 3.40, 4 Pr 3.59
Li 0.5000 0.0000 0.0000  8 Pr 3.40, 4 Pb 3.59
Pb 0.5000 0.5000 0.5000  8 Pr 3.40, 4 Li 3.59

Summary:
Its formation energy is -0.328 eV per atom. The spin magnetization comes out at 0.00 μB/atom.

---

An optimized crystal structure of LiPr2Pb3. Source: Alexandria via LeMat-Bulk, functional PBE-GGA.

Unit cell a=3.6673 b=5.6536 c=9.5203 alpha=107.27 beta=101.10 gamma=90.00
Closest atoms and distances in Å follow each position.
Positions (direct):
Pr 0.3441 0.3441 0.6882  7 Pb 3.25-3.37
Pr 0.6559 0.6559 0.3118  7 Pb 3.25-3.37
Li 0.0000 0.0000 0.0000  4 Pb 2.83-2.88
Pb 0.1617 0.1617 0.3234  1 Li 2.88
Pb 0.0000 0.5000 0.0000  2 Li 2.83
Pb 0.8383 0.8383 0.6766  1 Li 2.88

Summary:
Its formation energy is -0.324 eV per atom. The spin magnetization comes out at 0.00 μB/atom.

---

An optimized crystal structure of Li3Pr2Pb4. Source: Alexandria via LeMat-Bulk, functional PBE-GGA.

Unit cell a=6.5934 b=8.3512 c=8.9219 alpha=90.00 beta=111.69 gamma=90.00
Closest atoms and distances in Å follow each position.
Positions (direct):
Pb 0.3197 0.4768 0.6395  5 Li 2.91-3.00
Pb 0.1973 0.7500 0.8945  3 Li 2.80-2.85
Pb 0.1803 0.9768 0.3605  5 Li 2.91-3.00
Pb 0.6973 0.7500 0.8945  3 Li 2.80-2.85
Pb 0.6803 0.5232 0.3605  5 Li 2.91-3.00
Pb 0.8027 0.2500 0.1055  3 Li 2.80-2.85
Pb 0.8197 0.0232 0.6395  5 Li 2.91-3.00
Pb 0.3027 0.2500 0.1055  3 Li 2.80-2.85
Pr 0.6095 0.9053 0.2190  8 Pb 3.40-3.62, 2 Li 3.46
Pr 0.8905 0.4053 0.7810  8 Pb 3.40-3.62, 2 Li 3.46
Pr 0.1095 0.5947 0.2190  8 Pb 3.40-3.62, 2 Li 3.46
Pr 0.3905 0.0947 0.7810  8 Pb 3.40-3.62, 2 Li 3.46
Li 0.9748 0.2500 0.4496  5 Pb 2.85-2.96
Li 0.0000 0.0000 0.0000  6 Pb 2.80-3.00
Li 0.4748 0.2500 0.4496  5 Pb 2.85-2.96
Li 0.0252 0.7500 0.5504  5 Pb 2.85-2.96
Li 0.5000 0.5000 0.0000  6 Pb 2.80-3.00
Li 0.5252 0.7500 0.5504  5 Pb 2.85-2.96

Summary:
Its formation energy is -0.410 eV per atom. The spin magnetization comes out at 0.00 μB/atom.

---

An optimized crystal structure of LiPrPtPb. Source: Alexandria via LeMat-Bulk, functional PBE-GGA.

Unit cell a=4.9465 b=4.9465 c=4.9465 alpha=60.00 beta=60.00 gamma=60.00
Closest atoms and distances in Å follow each position.
Positions (direct):
Pt 0.5000 0.5000 0.5000  4 Pb 3.03, 4 Pr 3.03
Pr 0.2500 0.2500 0.2500  4 Li 3.03, 4 Pt 3.03
Li 0.0000 0.0000 0.0000  4 Pb 3.03, 4 Pr 3.03
Pb 0.7500 0.7500 0.7500  4 Li 3.03, 4 Pt 3.03

Summary:
Its formation energy is -0.698 eV per atom. The spin magnetization comes out at 0.00 μB/atom.

---

An optimized crystal structure of LiPr2PbS4. Source: Alexandria via LeMat-Bulk, functional PBE-GGA.

Unit cell a=8.2258 b=8.2258 c=8.2031 alpha=119.91 beta=119.91 gamma=89.67
Closest atoms and distances in Å follow each position.
Positions (direct):
Pr 0.5000 0.5000 0.0000  6 S 2.92-2.95
Pr 0.5000 0.0000 0.5000  6 S 2.86-2.88
Pr 0.5000 0.0000 0.0000  6 S 2.86-2.88
Pr 0.0000 0.0000 0.5000  6 S 2.92-2.95
Li 0.0000 0.0000 0.0000  6 S 2.86-2.91
Li 0.5000 0.5000 0.5000  6 S 2.86-2.91
S 0.7465 0.7534 0.9988  3 Pr 2.86-2.92, 2 Li 2.91, 1 Pb 2.94
S 0.7466 0.7535 0.5012  3 Pr 2.86-2.92, 2 Li 2.91, 1 Pb 2.94
S 0.2534 0.2465 0.4988  3 Pr 2.86-2.92, 2 Li 2.91, 1 Pb 2.94
S 0.2535 0.2466 0.0012  3 Pr 2.86-2.92, 2 Li 2.91, 1 Pb 2.94
S 0.2605 0.7527 0.5066  1 Li 2.86, 3 Pr 2.88-2.95, 2 Pb 2.96
S 0.7473 0.2395 0.9934  1 Li 2.86, 3 Pr 2.88-2.95, 2 Pb 2.96
S 0.7395 0.2472 0.4934  1 Li 2.86, 3 Pr 2.88-2.95, 2 Pb 2.96
S 0.2528 0.7605 0.0066  1 Li 2.86, 3 Pr 2.88-2.95, 2 Pb 2.96
Pb 0.0000 0.5000 0.5000  6 S 2.94-2.96
Pb 0.0000 0.5000 0.0000  6 S 2.94-2.96

Summary:
The spin magnetization comes out at 0.00 μB/atom. As for the energy relative to the elements, uncorrected: -1460 meV/atom.

---

An optimized crystal structure of LiPrScPb. Source: Alexandria via LeMat-Bulk, functional PBE-GGA.

Unit cell a=5.2560 b=5.2560 c=5.2560 alpha=60.00 beta=60.00 gamma=60.00
Closest atoms and distances in Å follow each position.
Positions (direct):
Pb 0.5000 0.5000 0.5000  4 Pr 3.22, 4 Sc 3.22
Sc 0.2500 0.2500 0.2500  4 Pb 3.22, 4 Li 3.22
Pr 0.7500 0.7500 0.7500  4 Pb 3.22, 4 Li 3.22
Li 0.0000 0.0000 0.0000  4 Sc 3.22, 4 Pr 3.22

Summary:
Its formation energy is -0.260 eV per atom. The spin magnetization comes out at 0.00 μB/atom.

---

An optimized crystal structure of LiPrPbSe3. Source: Alexandria via LeMat-Bulk, functional PBE-GGA.

Unit cell a=4.1067 b=8.9454 c=9.1398 alpha=99.96 beta=90.00 gamma=90.00
Closest atoms and distances in Å follow each position.
Positions (direct):
Li 0.2500 0.0918 0.5880  4 Se 2.55-2.59
Li 0.7500 0.9082 0.4120  4 Se 2.55-2.59
Se 0.7500 0.1974 0.4728  3 Li 2.55-2.56
Se 0.7500 0.3963 0.1554  3 Pb 2.94-3.08, 2 Pr 3.04
Se 0.2500 0.6037 0.8446  3 Pb 2.94-3.08, 2 Pr 3.04
Se 0.7500 0.9055 0.1282  1 Li 2.59
Se 0.2500 0.0945 0.8718  1 Li 2.59
Se 0.2500 0.8026 0.5272  3 Li 2.55-2.56
Pr 0.2500 0.1650 0.2200  7 Se 3.04-3.14
Pr 0.7500 0.8350 0.7800  7 Se 3.04-3.14
Pb 0.7500 0.3450 0.8287  6 Se 2.94-3.29
Pb 0.2500 0.6550 0.1713  6 Se 2.94-3.29

Summary:
The spin magnetization comes out at 0.00 μB/atom. As for the energy relative to the elements, uncorrected: -1251 meV/atom.

---

An optimized crystal structure of LiPr2Pb3Se6. Source: Alexandria via LeMat-Bulk, functional PBE-GGA.

Unit cell a=4.3840 b=8.5823 c=9.6944 alpha=103.93 beta=103.07 gamma=90.00
Closest atoms and distances in Å follow each position.
Positions (direct):
Se 0.3298 0.4236 0.6596  3 Pr 3.04-3.05, 3 Pb 3.12-3.24
Se 0.6702 0.5764 0.3404  3 Pr 3.04-3.05, 3 Pb 3.12-3.24
Se 0.3353 0.9133 0.6706  3 Pb 2.99-3.20, 1 Li 3.01, 2 Pr 3.02
Se 0.9970 0.7612 0.9940  1 Pr 2.93, 2 Li 2.99, 3 Pb 3.00-3.15
Se 0.0030 0.2388 0.0060  1 Pr 2.93, 2 Li 2.99, 3 Pb 3.00-3.15
Se 0.6647 0.0867 0.3294  3 Pb 2.99-3.20, 1 Li 3.01, 2 Pr 3.02
Li 0.5000 0.0000 0.0000  6 Se 2.99-3.01
Pb 0.5000 0.5000 0.0000  6 Se 3.12-3.15
Pb 0.1608 0.8480 0.3216  6 Se 2.99-3.24
Pb 0.8392 0.1520 0.6784  6 Se 2.99-3.24
Pr 0.8369 0.6729 0.6739  6 Se 2.93-3.05
Pr 0.1631 0.3271 0.3261  6 Se 2.93-3.05

Summary:
The spin magnetization comes out at 0.00 μB/atom. As for the energy relative to the elements, uncorrected: -1080 meV/atom.

---

An optimized crystal structure of LiPr2PbSe4. Source: Alexandria via LeMat-Bulk, functional PBE-GGA.

Unit cell a=4.2579 b=7.4731 c=7.3149 alpha=71.00 beta=90.00 gamma=90.00
Closest atoms and distances in Å follow each position.
Positions (direct):
Pr 0.0000 0.0000 0.0000  6 Se 3.05-3.07
Pr 0.5000 0.0000 0.5000  6 Se 2.98-3.00
Li 0.0000 0.5000 0.5000  6 Se 2.95-3.00
Se 0.0000 0.2513 0.2596  1 Li 2.95, 3 Pr 3.00-3.07, 2 Pb 3.05
Se 0.5000 0.7479 0.2566  3 Pr 2.98-3.05, 2 Li 3.00, 1 Pb 3.04
Se 0.0000 0.7487 0.7404  1 Li 2.95, 3 Pr 3.00-3.07, 2 Pb 3.05
Se 0.5000 0.2521 0.7434  3 Pr 2.98-3.05, 2 Li 3.00, 1 Pb 3.04
Pb 0.5000 0.5000 0.0000  6 Se 3.04-3.05

Summary:
The spin magnetization comes out at 0.00 μB/atom. As for the energy relative to the elements, uncorrected: -1378 meV/atom.